# 1
NdInRh2: relaxed, PBE.

Properties
For the uncorrected energy, the calculation gives -24.30 eV per cell. For the formation energy, the calculation gives -2.087 eV/f.u.

Cell lengths 3.4550, 3.4550, 6.5483 Å; angles 90.00, 90.00, 90.00 degrees
Space group P4/mmm (No. 123)
One atom of each set of equivalent atoms:
Nd 0.0000 0.0000 0.0000 x1
In 0.0000 0.0000 0.5000 x1
Rh 0.5000 0.5000 0.2737 x2

---

# 2
NdInRh: relaxed, PBE.

Properties
For the uncorrected energy, the calculation gives -16.38 eV per cell. For the formation energy, the calculation gives -1.522 eV/f.u.

Cell lengths 4.6773, 4.6773, 3.7533 Å; angles 90.00, 90.00, 120.00 degrees
Space group P3m1 (No. 156)
One atom of each set of equivalent atoms:
Nd 0.0000 0.0000 0.0000 x1
In 0.6667 0.3333 0.5000 x1
Rh 0.3333 0.6667 0.4985 x1

---

Please write out number 2 again, unchanged.
NdInRh: relaxed, PBE.

Properties
For the uncorrected energy, the calculation gives -16.38 eV per cell. For the formation energy, the calculation gives -1.522 eV/f.u.

Cell lengths 4.6773, 4.6773, 3.7533 Å; angles 90.00, 90.00, 120.00 degrees
Space group P3m1 (No. 156)
One atom of each set of equivalent atoms:
Nd 0.0000 0.0000 0.0000 x1
In 0.6667 0.3333 0.5000 x1
Rh 0.3333 0.6667 0.4985 x1